Li3Er3MoO8: relaxed, GGA+U. Values from VASP.

Crystal system: monoclinic
Magnetic moment: 2.0 Bohr magnetons per cell
E_tot: -7.08 eV/atom

The structure in Quantum ESPRESSO input format:
```
&SYSTEM
  ibrav = 0, nat = 15, ntyp = 4
/
ATOMIC_SPECIES
Er 167.26 Er.upf
O 16.00 O.upf
Li 6.94 Li.upf
Mo 95.94 Mo.upf
ATOMIC_POSITIONS angstrom
Er 3.2955 -1.8849 2.4741
Er -1.6477 0.9983 2.4986
Er 1.6477 0.9983 2.4986
O -1.7859 2.9959 3.6241
O 1.5096 -0.9992 1.3731
O 0.0000 1.9753 1.3585
O 3.2955 2.0633 1.3720
O 0.0000 -0.0666 3.6253
O 1.7859 2.9959 3.6241
O 5.0813 -0.9992 1.3731
O 3.2954 0.0214 3.6387
Li 0.0000 0.0000 0.0000
Li 1.6477 2.8832 0.0246
Li -1.6477 2.8832 0.0246
Mo 0.0000 -1.8849 2.4741
CELL_PARAMETERS angstrom
6.5909 0.0000 0.0000
-3.2955 5.7665 0.0491
0.0000 -3.7698 4.9481
```